Entry 1:
Density functional theory data (PBE) for a geometry-optimized AgAu4 structure.

a b c (Å): 7.904 7.904 7.904
angles (deg): 158.64 149.96 37.16
Fractional positions:
Ag1 0.000 0.000 0.000
Au1 0.200 0.200 0.000
Au2 0.401 0.401 0.000
Au3 0.599 0.599 0.000
Au4 0.800 0.800 0.000

Calculated values
Calculated density in g/cm³: 16.54
SG: Immm (71)
Energy above the most stable polymorph in this dataset in meV per atom: 8.5



Entry 2:
Density functional theory data (PBE) for a geometry-optimized Ag2Au3 structure.

a b c (Å): 4.550 4.550 5.623
angles (deg): 90.00 90.00 120.00
Fractional positions:
Ag1 0.333 0.667 0.342
Ag2 0.667 0.333 0.658
Au1 0.000 0.000 0.500
Au2 0.333 0.667 0.853
Au3 0.667 0.333 0.147

Calculated values
Calculated density in g/cm³: 13.29
SG: P-3m1 (164)
Energy above the most stable polymorph in this dataset in meV per atom: 186.7



Entry 3:
Density functional theory data (PBE) for a geometry-optimized Ag2Au3 structure.

a b c (Å): 11.760 11.760 11.760
angles (deg): 14.62 14.62 14.62
Fractional positions:
Ag1 0.100 0.100 0.100
Ag2 0.900 0.900 0.900
Au1 0.300 0.300 0.300
Au2 0.500 0.500 0.500
Au3 0.700 0.700 0.700

Calculated values
Calculated density in g/cm³: 14.84
SG: R-3m (166)
Energy above the most stable polymorph in this dataset in meV per atom: 55.3